Version i
{"formula": "ScNiS2Cl", "functional": "PBE", "state": "optimized geometry", "total_magnetization_mub_per_fu": 1.5, "lattice": [[-0.816, -4.880, 0.171], [2.294, -0.537, -4.355], [4.206, -0.623, 2.292]], "species": ["Sc", "Ni", "S", "S", "Cl"], "frac_coords": [[0.000, 0.000, 0.000], [0.500, 0.500, 0.500], [0.000, 0.500, 0.000], [0.500, 0.000, 0.000], [0.000, 0.000, 0.500]]}

=====

Version ii
{"formula": "ScNiS2Cl", "functional": "PBE", "state": "optimized geometry", "total_magnetization_mub_per_fu": 0.0, "lattice": [[-2.217, -3.890, 0.767], [3.745, -2.343, -1.056], [1.252, 0.113, 4.191]], "species": ["Sc", "Ni", "S", "S", "Cl"], "frac_coords": [[0.500, 0.500, 0.500], [0.000, 0.000, 0.000], [0.000, 0.500, 0.000], [0.500, 0.000, 0.000], [0.000, 0.000, 0.500]]}

=====

Least stable structure: version i